Entry from the Alexandria database: crystalline Re2HgSe at its relaxed geometry (PBE-GGA).

Values from the calculation:
energy above the most stable polymorph in this dataset: 658 meV/atom
volume: 19.90 Å³/atom
total DFT energy (no corrections): -49.5 eV/cell
size of the total moment: 0.00 μB per atom
raw formation energy: 983 meV per atom
space group: No. 122

Geometry as POSCAR:
```
Re2HgSe
1.0
-0.0310 4.0149 -1.2174
-1.6435 1.1085 3.6977
7.4844 3.6487 4.6129
Hg Re Se
2 4 2
Direct
0.0000 0.0000 0.0000
0.7500 0.2500 0.5000
0.5335 0.1250 0.2500
0.2165 0.6250 0.2500
0.8750 0.7835 0.7500
0.3750 0.4665 0.7500
0.5000 0.5000 0.0000
0.2500 0.7500 0.5000
```